Er5Ga4 PBE-GGA relaxed; D(E_F) = 0.67 states/eV/atom; DFT formation energy = -562.3 meV per atom; E_tot = -0.327 Ry/atom; size of the total moment = 0.000 μB/atom
1.0
5.3933 -2.2000 0.0000
5.3933 2.2000 0.0000
-3.8334 0.0000 9.1386
Er Ga
5 4
direct
0.0000 0.0000 0.0000
0.1011 0.1011 0.3907
0.2438 0.2438 0.8247
0.7562 0.7562 0.1753
0.8989 0.8989 0.6093
0.3810 0.3810 0.3903
0.4499 0.4499 0.1656
0.5501 0.5501 0.8344
0.6190 0.6190 0.6097